--- a ---
Entry from Alexandria via LeMat-Bulk: a geometry-optimized K4SbO5 structure (PBE).

Output
* calculated density: 3.06 g/cm³

Structure (POSCAR):
```
K4SbO5
1.0
-4.0690 4.0690 2.9334
4.0690 -4.0690 2.9334
4.0690 4.0690 -2.9334
K Sb O
4 1 5
direct
0.0889 0.2938 0.3827
0.2938 0.9111 0.2049
0.7062 0.0889 0.7951
0.9111 0.7062 0.6173
0.5351 0.5351 0.0000
0.2321 0.5312 0.8429
0.3892 0.2321 0.7009
0.5312 0.6883 0.2991
0.6883 0.3892 0.1571
0.8634 0.8634 0.0000
```

---

--- b ---
Entry from Alexandria via LeMat-Bulk: a geometry-optimized K4SbO5 structure (PBE).

Output
* calculated density: 2.89 g/cm³

Structure (POSCAR):
```
K4SbO5
1.0
-4.9574 4.9574 2.0931
4.9574 -4.9574 2.0931
4.9574 4.9574 -2.0931
K Sb O
4 1 5
direct
0.1013 0.2519 0.3532
0.2519 0.8987 0.1507
0.7481 0.1013 0.8493
0.8987 0.7481 0.6468
0.5000 0.5000 0.0000
0.0000 0.0000 0.0000
0.3121 0.4250 0.7371
0.4250 0.6879 0.1128
0.5750 0.3121 0.8872
0.6879 0.5750 0.2629
```

---

Most stable structure - a; separation to the second - 17 meV/atom.

---

--- a ---
Entry from Alexandria via LeMat-Bulk: a geometry-optimized KSb3O structure (PBE).

Output
* calculated density: 3.32 g/cm³

Structure (POSCAR):
```
KSb3O
1.0
5.9436 0.0000 0.0000
0.0000 5.9436 0.0000
0.0000 0.0000 5.9436
K Sb O
1 3 1
direct
0.0000 0.0000 0.0000
0.0000 0.0000 0.5000
0.0000 0.5000 0.0000
0.5000 0.0000 0.0000
0.5000 0.5000 0.5000
```

---

--- b ---
Entry from Alexandria via LeMat-Bulk: a geometry-optimized KSb3O structure (PBE).

Output
* calculated density: 5.70 g/cm³

Structure (POSCAR):
```
KSb3O
1.0
4.9649 0.0000 0.0000
0.0000 4.9649 0.0000
0.0000 0.0000 4.9649
K Sb O
1 3 1
direct
0.0000 0.0000 0.0000
0.0000 0.5000 0.5000
0.5000 0.0000 0.5000
0.5000 0.5000 0.0000
0.5000 0.5000 0.5000
```

---

Most stable structure - b; separation to the second - 1849 meV/atom.

---

--- a ---
Entry from Alexandria via LeMat-Bulk: a geometry-optimized KSb2TeO structure (PBE).

Output
* calculated density: 3.37 g/cm³

Structure (POSCAR):
```
KSb2TeO
1.0
5.9820 0.0000 0.0000
0.0000 5.9820 0.0000
0.0000 0.0000 5.8676
K Sb Te O
1 2 1 1
direct
0.0000 0.0000 0.0000
0.0000 0.5000 0.0000
0.5000 0.0000 0.0000
0.0000 0.0000 0.5000
0.5000 0.5000 0.5000
```

---

--- b ---
Entry from Alexandria via LeMat-Bulk: a geometry-optimized KSb2TeO structure (PBE).

Output
* calculated density: 5.65 g/cm³

Structure (POSCAR):
```
KSb2TeO
1.0
4.8470 0.0000 0.0000
0.0000 4.8470 0.0000
0.0000 0.0000 5.3339
K Sb Te O
1 2 1 1
direct
0.0000 0.0000 0.0000
0.0000 0.5000 0.5000
0.5000 0.0000 0.5000
0.5000 0.5000 0.0000
0.5000 0.5000 0.5000
```

---

Most stable structure - b; separation to the second - 1887 meV/atom.